# SrErIr4

A relaxed structure of SrErIr4 (PBE, Alexandria via LeMat-Bulk).

Cell: 5.4060 5.4060 5.4060 Å, 60.00 60.00 60.00°
Element x y z (fractional)
Ir1 0.6248 0.1256 0.6248
Ir2 0.1256 0.6248 0.6248
Er1 0.2500 0.2500 0.2500
Ir3 0.6248 0.6248 0.1256
Ir4 0.6248 0.6248 0.6248
Sr1 0.0000 0.0000 0.0000

Magnetic moment, μB/f.u.: 0.00
Mass density, g/cm3: 15.22
Uncorrected energy, eV for the cell shown: -44.799
SG: F-43m, No. 216
ΔH_f (0 K), meV/atom: -518
Crystal system: cubic

# SrErIr

A relaxed structure of SrErIr (PBE, Alexandria via LeMat-Bulk).

Cell: 3.9827 9.2234 11.3918 Å, 80.45 100.07 90.00°
Element x y z (fractional)
Ir1 0.2885 0.6811 0.5770
Sr1 0.5275 0.7884 0.0549
Sr2 0.1075 0.3965 0.2151
Er1 0.3408 0.9655 0.6816
Er2 0.6592 0.0345 0.3184
Sr3 0.8925 0.6035 0.7849
Ir2 0.2294 0.1235 0.4588
Er3 0.7063 0.6271 0.4125
Er4 0.2937 0.3729 0.5875
Ir3 0.7115 0.3189 0.4230
Ir4 0.7706 0.8765 0.5412
Sr4 0.4725 0.2116 0.9451

Magnetic moment, μB/f.u.: 0.00
Mass density, g/cm3: 7.31
Uncorrected energy, eV for the cell shown: -63.349
SG: C2/m, No. 12
ΔH_f (0 K), meV/atom: -244
Crystal system: monoclinic
E above lowest polymorph, meV/atom: 158.2

# Sr3ErIr8

A relaxed structure of Sr3ErIr8 (PBE, Alexandria via LeMat-Bulk).

Cell: 5.4539 5.4539 9.4036 Å, 73.14 73.14 60.00°
Element x y z (fractional)
Ir1 0.9376 0.9376 0.6800
Ir2 0.1877 0.1877 0.4368
Er1 0.8749 0.8749 0.3752
Sr1 0.3744 0.3744 0.8769
Ir3 0.4374 0.4374 0.1946
Ir4 0.9307 0.4374 0.1946
Sr2 0.0014 0.0014 0.9959
Ir5 0.4374 0.9307 0.1946
Ir6 0.4448 0.9376 0.6800
Ir7 0.6877 0.6877 0.9370
Ir8 0.9376 0.4448 0.6800
Sr3 0.4986 0.4986 0.5043

Magnetic moment, μB/f.u.: 0.00
Mass density, g/cm3: 14.32
Uncorrected energy, eV for the cell shown: -85.234
SG: R3m, No. 160
ΔH_f (0 K), meV/atom: -395
Crystal system: trigonal

Q: Which value of magnetic moment does entry 2 give?
A: 0.00 μB/f.u.

Q: Which of these has the highest mass density?
A: SrErIr4